1.
{
  "formula": "Li4MnNi3O8",
  "functional": "SCAN",
  "state": "single point on PBEsol structure",
  "sg": "R-3m",
  "formation_energy_uncorrected_ev_per_atom": -1.85,
  "vol_a3_per_atom": 8.3,
  "cell": [[-1.7904, 0.4375, 5.4171], [-0.2704, -4.6603, 3.3091], [3.7299, -0.6696, 4.3090]],
  "species": ["Ni", "Ni", "Ni", "Li", "Li", "Li", "Li", "Mn", "O", "O", "O", "O", "O", "O", "O", "O"],
  "frac_coords": [[0.5000, 0.0000, 0.5000], [0.0000, 0.0000, 0.5000], [0.0000, 0.5000, 0.5000], [0.5000, 0.0000, 0.0000], [0.5000, 0.5000, 0.0000], [0.0000, 0.5000, 0.0000], [0.0000, 0.0000, 0.0000], [0.5000, 0.5000, 0.5000], [0.7354, 0.2620, 0.2671], [0.7354, 0.7354, 0.2671], [0.2646, 0.7380, 0.7329], [0.2336, 0.2336, 0.2992], [0.2620, 0.7354, 0.2671], [0.2646, 0.2646, 0.7329], [0.7380, 0.2646, 0.7329], [0.7664, 0.7664, 0.7008]]
}

***

2.
{
  "formula": "Li5Mn2Ni5O12",
  "functional": "SCAN",
  "state": "single point on PBEsol structure",
  "sg": "C2",
  "formation_energy_uncorrected_ev_per_atom": -1.85,
  "vol_a3_per_atom": 8.3,
  "cell": [[4.9319, 0.0000, -0.0830], [2.4660, 4.3030, -0.0415], [1.6112, 0.0000, 9.3688]],
  "species": ["O", "O", "O", "O", "O", "O", "O", "O", "O", "O", "O", "O", "Li", "Li", "Li", "Li", "Li", "Ni", "Ni", "Ni", "Ni", "Ni", "Mn", "Mn"],
  "frac_coords": [[0.8878, 0.5018, 0.1168], [0.4012, 0.4867, 0.6162], [0.7623, 0.1960, 0.3810], [0.6105, 0.5018, 0.8832], [0.4752, 0.8120, 0.3809], [0.1121, 0.4867, 0.3838], [0.5276, 0.1938, 0.1199], [0.2785, 0.1938, 0.8801], [0.2194, 0.8103, 0.1212], [0.9703, 0.8103, 0.8788], [0.7128, 0.8120, 0.6191], [0.0417, 0.1960, 0.6190], [0.8329, 0.8318, 0.2558], [0.3353, 0.8318, 0.7442], [0.6731, 0.1638, 0.7446], [0.0881, 0.8238, 0.5000], [0.1632, 0.1638, 0.2554], [0.4899, 0.5056, 0.2555], [0.5818, 0.8365, 0.0000], [0.0046, 0.5056, 0.7445], [0.9151, 0.1698, 0.0000], [0.4185, 0.1630, 0.5000], [0.2494, 0.5011, 0.0000], [0.7488, 0.5025, 0.5000]]
}

***

3.
{
  "formula": "Li3MnNi4O8",
  "functional": "SCAN",
  "state": "single point on PBEsol structure",
  "sg": "C2/m",
  "formation_energy_uncorrected_ev_per_atom": -1.77,
  "vol_a3_per_atom": 8.4,
  "cell": [[-2.9610, 4.8176, -1.1345], [-4.4918, -3.1433, -1.6244], [2.3084, -0.7864, 5.2024]],
  "species": ["O", "O", "O", "O", "O", "O", "O", "O", "Ni", "Ni", "Ni", "Ni", "Li", "Li", "Li", "Mn"],
  "frac_coords": [[0.7782, 0.2649, 0.5298], [0.2218, 0.7351, 0.4702], [0.2401, 0.2682, 0.0075], [0.7599, 0.7318, 0.9925], [0.7599, 0.2606, 0.9925], [0.2401, 0.7394, 0.0075], [0.7705, 0.7486, 0.4971], [0.2295, 0.2514, 0.5029], [0.5000, 0.5000, 0.0000], [0.0000, 0.5000, 0.5000], [0.0000, 0.0000, 0.0000], [0.0000, 0.0000, 0.5000], [0.5000, 0.0000, 0.5000], [0.5000, 0.5000, 0.5000], [0.5000, 0.0000, 0.0000], [0.0000, 0.5000, 0.0000]]
}

***

4.
{
  "formula": "LiMn3Ni2O8",
  "functional": "SCAN",
  "state": "single point on PBEsol structure",
  "sg": "Imm2",
  "formation_energy_uncorrected_ev_per_atom": -1.91,
  "vol_a3_per_atom": 9.7,
  "cell": [[5.7319, 0.0000, 0.0000], [-2.8660, 5.0328, -0.0180], [0.0000, -3.2844, 4.7374]],
  "species": ["O", "O", "O", "O", "O", "O", "O", "O", "Mn", "Mn", "Mn", "Ni", "Ni", "Li"],
  "frac_coords": [[0.7524, 0.9567, 0.4783], [0.2444, 0.4889, 0.0212], [0.2449, 0.0376, 0.0188], [0.7549, 0.5098, 0.0360], [0.7927, 0.0376, 0.0188], [0.2042, 0.9567, 0.4783], [0.2444, 0.4889, 0.4677], [0.7549, 0.5098, 0.4739], [0.3828, 0.7656, 0.8828], [0.5074, 0.5061, 0.2531], [0.9987, 0.5061, 0.2531], [0.0001, 0.0002, 0.2513], [0.0001, 0.0002, 0.7489], [0.6179, 0.2358, 0.6179]]
}

***

| no. | E (eV per atom) |
| --- | --- |
| 1 | -9.736 |
| 2 | -10.353 |
| 3 | -10.520 |
| 4 | -11.865 |